Entry 1:
! Sc2CoAs | Alexandria via LeMat-Bulk | GGA-PBEsol | relaxed; values from VASP
&SYSTEM
  ibrav = 0, nat = 4, ntyp = 3
/
ATOMIC_SPECIES
Sc 44.96 Sc.upf
Co 58.93 Co.upf
As 74.92 As.upf
CELL_PARAMETERS angstrom
3.854 0.000 0.000
0.000 1.781 4.910
0.000 -1.781 4.910
ATOMIC_POSITIONS crystal
Sc 0.000 0.000 0.000
Sc 0.500 0.287 0.287
Co 0.500 0.560 0.560
As 0.000 0.715 0.715
! E_form	-0.846	eV per atom
! space-group type	No. 38
! DFT total energy	-29.439	eV for the cell shown

---

Entry 2:
! TlGe3C | Alexandria via LeMat-Bulk | GGA-PBEsol | relaxed; values from VASP
&SYSTEM
  ibrav = 0, nat = 5, ntyp = 3
/
ATOMIC_SPECIES
Tl 204.38 Tl.upf
Ge 72.64 Ge.upf
C 12.01 C.upf
CELL_PARAMETERS angstrom
4.442 0.000 0.000
0.000 4.442 0.000
0.000 0.000 4.442
ATOMIC_POSITIONS crystal
Tl 0.000 0.000 0.000
Ge 0.000 0.500 0.500
Ge 0.500 0.000 0.500
Ge 0.500 0.500 0.000
C 0.500 0.500 0.500
! E_form	0.875	eV per atom
! space-group type	No. 221
! DFT total energy	-22.716	eV for the cell shown

---

Entry 3:
! Ti2C | Alexandria via LeMat-Bulk | GGA-PBEsol | relaxed; values from VASP
&SYSTEM
  ibrav = 0, nat = 3, ntyp = 2
/
ATOMIC_SPECIES
Ti 47.87 Ti.upf
C 12.01 C.upf
CELL_PARAMETERS angstrom
1.528 0.882 4.770
-1.528 0.882 4.770
0.000 -1.764 4.770
ATOMIC_POSITIONS crystal
Ti 0.246 0.246 0.246
Ti 0.754 0.754 0.754
C 0.500 0.500 0.500
! E_form	-0.683	eV per atom
! space-group type	No. 166
! DFT total energy	-28.336	eV for the cell shown